(1)
The following is a GGA-PBE calculation of an optimized crystal structure of YAgC, from Alexandria via LeMat-Bulk.

## Properties
VASP energy = -5.9731 eV per atom
Calculated volume = 55.2 Å³/f.u.
Calculated formation energy = 0.21 eV per atom

Cell: 4.928 3.670 6.360 Å, 90.00 106.25 90.00°
Space group P2_1/m (No. 11)
Symmetry-distinct sites (fractional):
Y 0.194 0.250 0.351 (multiplicity 2)
Ag 0.385 0.250 0.843 (multiplicity 2)
C 0.289 0.750 0.611 (multiplicity 2)

(2)
The following is a GGA-PBE calculation of an optimized crystal structure of Li3BeAu, from Alexandria via LeMat-Bulk.

## Properties
VASP energy = -2.1818 eV per atom
E above lowest polymorph = 0.0000 eV/atom
Calculated volume = 108.1 Å³/f.u.
Calculated formation energy = 0.37 eV per atom

Cell: 4.764 4.764 4.764 Å, 90.00 90.00 90.00°
Space group Pm-3m (No. 221)
Symmetry-distinct sites (fractional):
Li 0.000 0.000 0.500 (multiplicity 3)
Be 0.500 0.500 0.500 (multiplicity 1)
Au 0.000 0.000 0.000 (multiplicity 1)

(3)
The following is a GGA-PBE calculation of an optimized crystal structure of Rb3Sn7Pt2, from Alexandria via LeMat-Bulk.

## Properties
VASP energy = -3.7124 eV per atom
Calculated volume = 426.3 Å³/f.u.
Calculated formation energy = -0.13 eV per atom

Cell: 5.086 33.207 5.048 Å, 90.00 90.00 90.00°
Space group Cmmm (No. 65)
Symmetry-distinct sites (fractional):
Rb 0.000 0.000 0.000 (multiplicity 2)
Rb 0.000 0.199 0.000 (multiplicity 4)
Sn 0.000 0.108 0.500 (multiplicity 4)
Sn 0.000 0.335 0.500 (multiplicity 4)
Sn 0.000 0.393 0.000 (multiplicity 4)
Sn 0.000 0.500 0.500 (multiplicity 2)
Pt 0.000 0.424 0.500 (multiplicity 4)

(4)
The following is a GGA-PBE calculation of an optimized crystal structure of Ca4Nd2Sb3O2, from Alexandria via LeMat-Bulk.

## Properties
Formation energy from raw total energies = -1752 meV per atom
VASP energy = -5.3726 eV per atom
Calculated volume = 282.5 Å³/f.u.

Cell: 4.694 4.694 25.645 Å, 90.00 90.00 90.00°
Space group I4/mmm (No. 139)
Symmetry-distinct sites (fractional):
Ca 0.000 0.500 0.083 (multiplicity 8)
Nd 0.000 0.000 0.194 (multiplicity 4)
Sb 0.000 0.000 0.322 (multiplicity 4)
Sb 0.000 0.000 0.500 (multiplicity 2)
O 0.000 0.000 0.101 (multiplicity 4)